# 1
Computed, not measured: a relaxed Al3NO3 crystal at the PBEsol level of DFT.

Cell lengths 5.6858, 5.6858, 5.6858 Å; angles 59.34, 59.34, 59.34 degrees
With the nearest neighbours (Å) after each atom.
Sites, in units of the cell vectors:
Al: 0.0000 0.0000 0.0000  6 O 1.93
Al: 0.0000 0.0000 0.5000  2 N 1.90, 4 O 1.97
Al: 0.0000 0.5000 0.0000  2 N 1.90, 4 O 1.97
Al: 0.3674 0.3674 0.3674  1 N 1.82, 3 O 1.84
Al: 0.5000 0.0000 0.0000  2 N 1.90, 4 O 1.97
Al: 0.6326 0.6326 0.6326  1 N 1.82, 3 O 1.84
N: 0.2375 0.2375 0.2375  4 Al 1.82-1.90
N: 0.7625 0.7625 0.7625  4 Al 1.82-1.90
O: 0.2332 0.7594 0.7594  4 Al 1.84-1.97
O: 0.2406 0.2406 0.7668  4 Al 1.84-1.97
O: 0.2406 0.7668 0.2406  4 Al 1.84-1.97
O: 0.7594 0.2332 0.7594  4 Al 1.84-1.97
O: 0.7594 0.7594 0.2332  4 Al 1.84-1.97
O: 0.7668 0.2406 0.2406  4 Al 1.84-1.97

- final energy (eV per cell) = -109.26
- energy above the lowest structure with this stoichiometry (kJ/mol of atoms) = 0.3
- ρ (g/cm3) = 3.71
- formation energy from raw total energies (meV/atom) = -2583

# 2
Computed, not measured: a relaxed NaNbTc2Br crystal at the PBEsol level of DFT.

Cell lengths 4.5629, 4.5629, 4.7361 Å; angles 90.00, 90.00, 90.00 degrees
With the nearest neighbours (Å) after each atom.
Sites, in units of the cell vectors:
Na: 0.0000 0.0000 0.0000  4 Nb 3.23, 8 Tc 3.29
Nb: 0.5000 0.5000 0.0000  2 Br 2.37
Tc: 0.0000 0.5000 0.5000  2 Br 2.28
Tc: 0.5000 0.0000 0.5000  2 Br 2.28
Br: 0.5000 0.5000 0.5000  4 Tc 2.28, 2 Nb 2.37

- final energy (eV per cell) = -29.35
- ρ (g/cm3) = 6.60
- formation energy from raw total energies (meV/atom) = 1455

# 3
Computed, not measured: a relaxed KRu2Rh crystal at the PBEsol level of DFT.

Cell lengths 2.6730, 4.7848, 10.2251 Å; angles 90.00, 90.00, 90.00 degrees
With the nearest neighbours (Å) after each atom.
Sites, in units of the cell vectors:
K: 0.0000 0.0000 0.0000  2 K 2.67, 4 Rh 2.74
K: 0.5000 0.5000 0.5000  2 K 2.67, 4 Rh 2.74
Ru: 0.0000 0.5000 0.2166  2 Rh 2.59, 6 Ru 2.67-2.82
Ru: 0.0000 0.5000 0.7834  2 Rh 2.59, 6 Ru 2.67-2.82
Ru: 0.5000 0.0000 0.2834  2 Rh 2.59, 6 Ru 2.67-2.82
Ru: 0.5000 0.0000 0.7166  2 Rh 2.59, 6 Ru 2.67-2.82
Rh: 0.0000 0.0000 0.5000  4 Ru 2.59, 2 Rh 2.67, 4 K 2.74
Rh: 0.5000 0.5000 0.0000  4 Ru 2.59, 2 Rh 2.67, 4 K 2.74

- final energy (eV per cell) = -51.49
- energy above the lowest structure with this stoichiometry (kJ/mol of atoms) = 13.0
- ΔH_f (0 K) (meV/atom) = 968
- ρ (g/cm3) = 8.74